Density functional theory data (PBE) for crystalline MoRuW2 at its relaxed geometry.

a b c (Å): 4.4326 2.7503 5.2138
angles (deg): 79.11 90.00 90.00
Closest atoms and distances in Å follow each position.
Element x y z (fractional)
W 0.5000 0.2428 0.2522  2 Mo 2.69, 2 Ru 2.69-2.72, 4 W 2.72-2.75
W 0.0000 0.0127 0.9977  2 Mo 2.68-2.74, 2 Ru 2.70, 4 W 2.72-2.75
Mo 0.0000 0.4733 0.4955  4 W 2.68-2.74, 2 Mo 2.75, 2 Ru 2.80
Ru 0.5000 0.7712 0.7546  4 W 2.69-2.72, 2 Ru 2.75, 2 Mo 2.80

Output
N(E_F): 0.887 states/eV per atom
Magnetization: 0.0 μB/f.u.
Uncorrected energy: -11.38 eV per atom
Crystal system: monoclinic
Space-group type: No. 6
Energy relative to the elements: 120 meV per atom
Energy above the most stable polymorph in this dataset: 7 meV/atom

=====

Density functional theory data (PBE) for crystalline Rh2Pb2Se at its relaxed geometry.

a b c (Å): 7.2932 7.2932 3.8414
angles (deg): 90.00 90.00 90.00
Closest atoms and distances in Å follow each position.
Element x y z (fractional)
Se 0.0000 0.0000 0.0000  4 Rh 2.79
Se 0.5000 0.5000 0.0000  4 Rh 2.79
Pb 0.8427 0.3427 0.5000  6 Rh 2.79-2.94
Pb 0.6573 0.8427 0.5000  6 Rh 2.79-2.94
Pb 0.1573 0.6573 0.5000  6 Rh 2.79-2.94
Pb 0.3427 0.1573 0.5000  6 Rh 2.79-2.94
Rh 0.8529 0.6471 0.0000  6 Pb 2.79-2.94, 2 Se 2.79, 1 Rh 3.03
Rh 0.3529 0.8529 0.0000  6 Pb 2.79-2.94, 2 Se 2.79, 1 Rh 3.03
Rh 0.6471 0.1471 0.0000  6 Pb 2.79-2.94, 2 Se 2.79, 1 Rh 3.03
Rh 0.1471 0.3529 0.0000  6 Pb 2.79-2.94, 2 Se 2.79, 1 Rh 3.03

Output
N(E_F): 0.718 states/eV per atom
Magnetization: 0.0 μB/f.u.
Energy relative to the elements, uncorrected: 0.01 eV/atom
Uncorrected energy: -5.11 eV per atom
Crystal system: tetragonal
Space-group type: No. 127

=====

Density functional theory data (PBE) for crystalline Cu2Ir at its relaxed geometry.

a b c (Å): 4.6125 4.6125 4.6125
angles (deg): 147.70 131.20 59.74
Closest atoms and distances in Å follow each position.
Element x y z (fractional)
Cu 0.3324 0.3324 0.0000  7 Cu 2.57-2.68, 5 Ir 2.66
Cu 0.6676 0.6676 0.0000  7 Cu 2.57-2.68, 5 Ir 2.66
Ir 0.0000 0.0000 0.0000  2 Ir 2.57, 10 Cu 2.66

Output
N(E_F): 0.701 states/eV per atom
Magnetization: 0.0 μB/f.u.
Uncorrected energy: -5.52 eV per atom
Crystal system: orthorhombic
Space-group type: No. 71
Energy relative to the elements: 163 meV per atom
Energy above the most stable polymorph in this dataset: 111 meV/atom

=====

Density functional theory data (PBE) for crystalline Y2Ga4Ni3Rh at its relaxed geometry.

a b c (Å): 4.0853 4.0853 10.0618
angles (deg): 90.00 90.00 90.00
Closest atoms and distances in Å follow each position.
Element x y z (fractional)
Ga 0.5000 0.5000 0.0000  4 Ni 2.43
Ga 0.5000 0.0000 0.6355  3 Ni 2.35-2.46, 2 Rh 2.46
Ga 0.0000 0.5000 0.3645  3 Ni 2.35-2.46, 2 Rh 2.46
Ga 0.0000 0.0000 0.0000  4 Ni 2.43
Ni 0.0000 0.5000 0.1305  5 Ga 2.35-2.43
Ni 0.5000 0.0000 0.8695  5 Ga 2.35-2.43
Ni 0.0000 0.0000 0.5000  4 Ga 2.46
Y 0.0000 0.5000 0.7537  6 Ni 3.12-3.27, 8 Ga 3.12-3.21, 2 Rh 3.27
Y 0.5000 0.0000 0.2463  6 Ni 3.12-3.27, 8 Ga 3.12-3.21, 2 Rh 3.27
Rh 0.5000 0.5000 0.5000  4 Ga 2.46

Output
N(E_F): 0.739 states/eV per atom
Magnetization: 0.0 μB/f.u.
Uncorrected energy: -5.62 eV per atom
Crystal system: tetragonal
Space-group type: No. 115
Energy relative to the elements: -646 meV per atom

=====

Density functional theory data (PBE) for crystalline Ni3Te4 at its relaxed geometry.

a b c (Å): 7.5814 7.5814 7.5814
angles (deg): 59.98 59.98 59.98
Closest atoms and distances in Å follow each position.
Element x y z (fractional)
Te 0.2586 0.2586 0.2586  4 Ni 2.48-2.59
Te 0.2757 0.7414 0.7414  4 Ni 2.48-2.59
Te 0.7414 0.2757 0.7414  4 Ni 2.48-2.59
Te 0.2586 0.2586 0.7243  4 Ni 2.48-2.59
Te 0.7243 0.2586 0.2586  4 Ni 2.48-2.59
Te 0.7414 0.7414 0.7414  4 Ni 2.48-2.59
Te 0.7414 0.7414 0.2757  4 Ni 2.48-2.59
Te 0.2586 0.7243 0.2586  4 Ni 2.48-2.59
Ni 0.5000 0.5000 0.5000  6 Te 2.59
Ni 0.0000 0.5000 0.5000  6 Te 2.59
Ni 0.5000 0.0000 0.5000  6 Te 2.59
Ni 0.8750 0.8750 0.8750  4 Te 2.48
Ni 0.1250 0.1250 0.1250  4 Te 2.48
Ni 0.5000 0.5000 0.0000  6 Te 2.59

Output
N(E_F): 0.611 states/eV per atom
Magnetization: 0.0 μB/f.u.
Energy relative to the elements, uncorrected: -0.21 eV/atom
Uncorrected energy: -4.48 eV per atom
Crystal system: cubic
Space-group type: No. 227

=====

Density functional theory data (PBE) for crystalline Li3TiCl at its relaxed geometry.

a b c (Å): 5.4083 5.4083 5.4083
angles (deg): 90.00 90.00 90.00
Closest atoms and distances in Å follow each position.
Element x y z (fractional)
Li 0.5000 0.0000 0.0000  2 Ti 2.70
Li 0.0000 0.5000 0.0000  2 Ti 2.70
Li 0.0000 0.0000 0.5000  2 Ti 2.70
Ti 0.0000 0.0000 0.0000  6 Li 2.70
Cl 0.5000 0.5000 0.5000  12 Li 3.82

Output
N(E_F): 1.748 states/eV per atom
Magnetization: 3.9 μB/f.u.
Energy relative to the elements, uncorrected: 0.71 eV/atom
Uncorrected energy: -2.38 eV per atom
Crystal system: cubic
Space-group type: No. 221
Energy above the most stable polymorph in this dataset: 730 meV/atom

=====

Please write out number 2 again, unchanged.
Density functional theory data (PBE) for crystalline Rh2Pb2Se at its relaxed geometry.

a b c (Å): 7.2932 7.2932 3.8414
angles (deg): 90.00 90.00 90.00
Closest atoms and distances in Å follow each position.
Element x y z (fractional)
Se 0.0000 0.0000 0.0000  4 Rh 2.79
Se 0.5000 0.5000 0.0000  4 Rh 2.79
Pb 0.8427 0.3427 0.5000  6 Rh 2.79-2.94
Pb 0.6573 0.8427 0.5000  6 Rh 2.79-2.94
Pb 0.1573 0.6573 0.5000  6 Rh 2.79-2.94
Pb 0.3427 0.1573 0.5000  6 Rh 2.79-2.94
Rh 0.8529 0.6471 0.0000  6 Pb 2.79-2.94, 2 Se 2.79, 1 Rh 3.03
Rh 0.3529 0.8529 0.0000  6 Pb 2.79-2.94, 2 Se 2.79, 1 Rh 3.03
Rh 0.6471 0.1471 0.0000  6 Pb 2.79-2.94, 2 Se 2.79, 1 Rh 3.03
Rh 0.1471 0.3529 0.0000  6 Pb 2.79-2.94, 2 Se 2.79, 1 Rh 3.03

Output
N(E_F): 0.718 states/eV per atom
Magnetization: 0.0 μB/f.u.
Energy relative to the elements, uncorrected: 0.01 eV/atom
Uncorrected energy: -5.11 eV per atom
Crystal system: tetragonal
Space-group type: No. 127